# 1
Here is a relaxed structure of Y2Zn3In3 from Alexandria via LeMat-Bulk. Energies are from GGA-PBE.

## Properties
As for the space group: No. 47. The magnetic moment is 0.000 Bohr magnetons per cell. The formation energy is -339 meV per atom. The calculation puts the density of states at the Fermi level at 3.182 states/eV/cell.

Cell lengths 4.415, 4.457, 8.926 Å; angles 90.00, 90.00, 90.00 degrees
Element x y z (fractional)
Y (0.000, 0.000, 0.245)
Y (0.000, 0.000, 0.755)
Zn (0.500, 0.000, 0.000)
Zn (0.500, 0.500, 0.238)
Zn (0.500, 0.500, 0.762)
In (0.000, 0.500, 0.000)
In (0.000, 0.500, 0.500)
In (0.500, 0.000, 0.500)

=====

# 2
Here is a relaxed structure of KCuPb2 from Alexandria via LeMat-Bulk. Energies are from GGA-PBE.

## Properties
As for the space group: No. 122. The magnetic moment is 0.000 Bohr magnetons per cell. The formation energy is 237 meV per atom. The calculation puts the density of states at the Fermi level at 3.775 states/eV/cell.

Cell lengths 9.768, 9.768, 9.768 Å; angles 144.30, 144.30, 51.37 degrees
Element x y z (fractional)
K (0.000, 0.000, 0.000)
K (0.750, 0.250, 0.500)
Cu (0.250, 0.750, 0.500)
Cu (0.500, 0.500, 0.000)
Pb (0.318, 0.625, 0.193)
Pb (0.375, 0.568, 0.693)
Pb (0.432, 0.125, 0.807)
Pb (0.875, 0.682, 0.307)

=====

# 3
Here is a relaxed structure of La6Pr2NdDy from Alexandria via LeMat-Bulk. Energies are from GGA-PBE.

## Properties
As for the space group: No. 15. The magnetic moment is 0.000 Bohr magnetons per cell. The formation energy is 105 meV per atom. The calculation puts the density of states at the Fermi level at 25.493 states/eV/cell.

Cell lengths 9.206, 9.206, 9.337 Å; angles 90.20, 90.20, 114.68 degrees
Element x y z (fractional)
La (0.031, 0.468, 0.681)
La (0.076, 0.777, 0.906)
La (0.223, 0.924, 0.594)
La (0.278, 0.572, 0.092)
La (0.428, 0.722, 0.408)
La (0.468, 0.031, 0.181)
La (0.532, 0.969, 0.819)
La (0.572, 0.278, 0.592)
La (0.722, 0.428, 0.908)
La (0.777, 0.076, 0.406)
La (0.924, 0.223, 0.094)
La (0.969, 0.532, 0.319)
Pr (0.206, 0.296, 0.436)
Pr (0.296, 0.206, 0.936)
Pr (0.704, 0.794, 0.064)
Pr (0.794, 0.704, 0.564)
Nd (0.071, 0.929, 0.250)
Nd (0.929, 0.071, 0.750)
Dy (0.431, 0.569, 0.750)
Dy (0.569, 0.431, 0.250)

=====

# 4
Here is a relaxed structure of HgGeF2 from Alexandria via LeMat-Bulk. Energies are from GGA-PBE.

## Properties
As for the space group: No. 225. The magnetic moment is 0.000 Bohr magnetons per cell. The raw formation energy comes out at -91 kJ per mole of atoms. The calculation puts the density of states at the Fermi level at 0.060 states/eV/cell.

Cell lengths 4.491, 4.491, 4.491 Å; angles 60.00, 60.00, 60.00 degrees
Element x y z (fractional)
Hg (0.000, 0.000, 0.000)
Ge (0.500, 0.500, 0.500)
F (0.250, 0.250, 0.250)
F (0.750, 0.750, 0.750)

=====

# 5
Here is a relaxed structure of SmDy3Cd6 from Alexandria via LeMat-Bulk. Energies are from GGA-PBE.

## Properties
As for the space group: No. 11. The magnetic moment is 0.000 Bohr magnetons per cell. The formation energy is -290 meV per atom. The calculation puts the density of states at the Fermi level at 15.734 states/eV/cell.

Cell lengths 9.216, 5.182, 11.108 Å; angles 90.00, 105.87, 90.00 degrees
Element x y z (fractional)
Sm (0.058, 0.250, 0.390)
Sm (0.942, 0.750, 0.610)
Dy (0.239, 0.250, 0.999)
Dy (0.351, 0.750, 0.796)
Dy (0.472, 0.250, 0.608)
Dy (0.528, 0.750, 0.392)
Dy (0.649, 0.250, 0.204)
Dy (0.761, 0.750, 0.001)
Cd (0.053, 0.750, 0.903)
Cd (0.145, 0.750, 0.196)
Cd (0.156, 0.250, 0.696)
Cd (0.246, 0.750, 0.502)
Cd (0.346, 0.250, 0.292)
Cd (0.452, 0.750, 0.095)
Cd (0.548, 0.250, 0.905)
Cd (0.654, 0.750, 0.708)
Cd (0.754, 0.250, 0.498)
Cd (0.844, 0.750, 0.304)
Cd (0.855, 0.250, 0.804)
Cd (0.947, 0.250, 0.097)

=====

# 6
Here is a relaxed structure of Ir2RuPt from Alexandria via LeMat-Bulk. Energies are from GGA-PBE.

## Properties
As for the space group: No. 225. The magnetic moment is 2.534 Bohr magnetons per cell. The formation energy is 474 meV per atom. The calculation puts the density of states at the Fermi level at 4.822 states/eV/cell.

Cell lengths 4.418, 4.418, 4.418 Å; angles 60.00, 60.00, 60.00 degrees
Element x y z (fractional)
Ir (0.250, 0.250, 0.250)
Ir (0.750, 0.750, 0.750)
Ru (0.000, 0.000, 0.000)
Pt (0.500, 0.500, 0.500)